Entry 1:
4
Lattice="3.2223 0.0000 0.0000 0.0000 3.2223 0.0000 0.0000 0.0000 6.5211" Properties=species:S:1:pos:R:3 comment="PBE Np2SO, relaxed" space_group=P4/mmm magnetic_moment_mub_per_fu=9.5 formation_energy_uncorrected_ev_per_fu=-4.93 pbc="T T T"
Np 0.0000 0.0000 1.5066
Np 0.0000 0.0000 5.0145
S 1.6111 1.6111 3.2605
O 1.6111 1.6111 0.0000

Entry 2:
10
Lattice="1.9156 -7.3895 0.0000 1.9156 7.3895 0.0000 0.0000 0.0000 6.9646" Properties=species:S:1:pos:R:3 comment="PBE Np2S2O, relaxed" space_group=Cmc2_1 magnetic_moment_mub_per_fu=8.0 formation_energy_uncorrected_ev_per_fu=-9.67 pbc="T T T"
Np 1.9156 6.5827 3.4823
Np 1.9156 2.4896 2.8481
Np 1.9156 -2.4896 6.3303
Np 1.9156 -6.5827 0.0000
S 1.9156 2.9832 0.1431
S 1.9156 0.6694 4.8574
S 1.9156 -0.6694 1.3751
S 1.9156 -2.9832 3.6254
O 1.9156 5.9711 5.8266
O 1.9156 -5.9711 2.3443

Entry 3:
12
Lattice="3.7052 2.1392 5.2840 -3.7052 2.1392 5.2840 0.0000 -4.2784 5.2840" Properties=species:S:1:pos:R:3 comment="PBE Np2S3O, relaxed" space_group=R-3c magnetic_moment_mub_per_fu=6.0 formation_energy_uncorrected_ev_per_fu=-9.74 pbc="T T T"
Np 0.0000 0.0000 2.0510
Np 0.0000 0.0000 5.8750
Np 0.0000 0.0000 9.9769
Np 0.0000 0.0000 13.8009
S -2.6863 -0.3743 6.6049
S -1.0190 -2.5135 9.2469
S 1.6673 -2.1392 6.6049
S -1.6673 2.1392 9.2469
S 1.0190 2.5135 6.6049
S 2.6863 0.3743 9.2469
O 0.0000 0.0000 0.0000
O 0.0000 0.0000 7.9259

Entry 4:
14
Lattice="-4.2519 4.2519 4.2519 4.2519 -4.2519 4.2519 4.2519 4.2519 -4.2519" Properties=species:S:1:pos:R:3 comment="PBE Np3S2O2, relaxed" space_group=I2_13 magnetic_moment_mub_per_fu=13.0 formation_energy_uncorrected_ev_per_fu=-12.65 pbc="T T T"
Np 6.3778 1.4575 0.0000
Np 2.7943 0.0000 2.1259
Np 2.1259 2.7943 0.0000
Np 0.0000 2.1259 2.7943
Np 1.4575 0.0000 6.3778
Np 0.0000 6.3778 1.4575
S 3.8751 0.3768 -0.3768
S 0.3768 0.3768 0.3768
S 0.3768 -0.3768 3.8751
S -0.3768 3.8751 0.3768
O 6.3657 -2.1139 2.1139
O 2.1139 6.3657 -2.1139
O 2.1380 2.1380 2.1380
O -2.1139 2.1139 6.3657

Entry 5:
10
Lattice="3.8983 0.0000 0.0000 0.0000 3.8983 0.0000 0.0000 0.0000 13.9009" Properties=species:S:1:pos:R:3 comment="PBE SmNpS2O, relaxed" space_group=P4/nmm magnetic_moment_mub_per_fu=3.7 formation_energy_uncorrected_ev_per_fu=-11.10 pbc="T T T"
Sm 0.9746 0.9746 1.6998
Sm 2.9238 2.9238 12.2011
Np 0.9746 0.9746 8.1907
Np 2.9238 2.9238 5.7101
S 0.9746 0.9746 4.3798
S 0.9746 0.9746 12.6006
S 2.9238 2.9238 1.3003
S 2.9238 2.9238 9.5211
O 0.9746 2.9238 6.9504
O 2.9238 0.9746 6.9504

Entry 6:
7
Lattice="-2.1638 2.1638 8.1126 2.1638 -2.1638 8.1126 2.1638 2.1638 -8.1126" Properties=species:S:1:pos:R:3 comment="PBE Sr2NpS2O2, relaxed" space_group=I4/mmm magnetic_moment_mub_per_fu=3.0 formation_energy_uncorrected_ev_per_fu=-17.03 pbc="T T T"
Sr 0.0000 0.0000 2.3607
Sr 0.0000 0.0000 13.8644
Np 0.0000 0.0000 8.1126
S 0.0000 0.0000 5.3484
S 0.0000 0.0000 10.8767
O 2.1638 0.0000 0.0000
O 0.0000 2.1638 0.0000

What did we get for DFT total energy? Answer: -39.9, -97.5, -105.9, -139.3, -84.0, -51.5 eV/cell, in the order shown.